First-principles (PBE) data for a relaxed structure of DyMgInS3, as listed in OQMD.

SG: Cmcm, No. 63
M_tot, Bohr magnetons per cell: 0.0
Total DFT energy (no corrections), eV/atom: -4.865

Cell lengths 7.3338, 7.3338, 10.8003 Å; angles 90.00, 90.00, 147.85 degrees
Closest atoms and distances in Å follow each position.
Sites, in units of the cell vectors:
Dy (0.0000, 0.0000, 0.0000)  6 S 2.75-2.83
Dy (0.0000, 0.0000, 0.5000)  6 S 2.75-2.83
Mg (0.4621, 0.5379, 0.7500)  4 S 2.40-2.47
Mg (0.5379, 0.4621, 0.2500)  4 S 2.40-2.47
In (0.2526, 0.7474, 0.2500)  6 S 3.32-3.42, 2 Mg 3.64
In (0.7474, 0.2526, 0.7500)  6 S 3.32-3.42, 2 Mg 3.64
S (0.0612, 0.9388, 0.7500)  2 Mg 2.47
S (0.3763, 0.6237, 0.5584)  1 Mg 2.40
S (0.3763, 0.6237, 0.9416)  1 Mg 2.40
S (0.6237, 0.3763, 0.0584)  1 Mg 2.40
S (0.6237, 0.3763, 0.4416)  1 Mg 2.40
S (0.9388, 0.0612, 0.2500)  2 Mg 2.47



First-principles (PBE) data for a relaxed structure of LiTa3Co4Bi4, as listed in OQMD.

SG: I-42m, No. 121
M_tot, Bohr magnetons per cell: 0.0
Total DFT energy (no corrections), eV/atom: -6.893

Cell lengths 7.4163, 7.4163, 7.4163 Å; angles 131.60, 131.60, 70.86 degrees
Closest atoms and distances in Å follow each position.
Sites, in units of the cell vectors:
Li (0.0000, 0.0000, 0.0000)  4 Co 2.80, 6 Bi 2.83-3.04
Ta (0.2500, 0.7500, 0.5000)  4 Co 2.59
Ta (0.5000, 0.5000, 0.0000)  4 Co 2.55
Ta (0.7500, 0.2500, 0.5000)  4 Co 2.59
Co (0.1371, 0.1371, 0.5369)  3 Ta 2.55-2.59, 4 Bi 2.57-2.68, 1 Li 2.80
Co (0.3998, 0.8629, 0.0000)  3 Ta 2.55-2.59, 4 Bi 2.57-2.68, 1 Li 2.80
Co (0.6002, 0.6002, 0.4631)  3 Ta 2.55-2.59, 4 Bi 2.57-2.68, 1 Li 2.80
Co (0.8629, 0.3998, 0.0000)  3 Ta 2.55-2.59, 4 Bi 2.57-2.68, 1 Li 2.80
Bi (0.0000, 0.5000, 0.5000)  4 Co 2.68
Bi (0.2338, 0.2338, 0.0000)  4 Co 2.57-2.62, 1 Li 2.83
Bi (0.5000, 0.0000, 0.5000)  4 Co 2.68
Bi (0.7662, 0.7662, 0.0000)  4 Co 2.57-2.62, 1 Li 2.83



First-principles (PBE) data for a relaxed structure of Er2SbIBr, as listed in OQMD.

SG: P3m1, No. 156
M_tot, Bohr magnetons per cell: 0.0
Total DFT energy (no corrections), eV/atom: -4.611

Cell lengths 4.2471, 4.2471, 10.9824 Å; angles 90.00, 90.00, 120.00 degrees
Closest atoms and distances in Å follow each position.
Sites, in units of the cell vectors:
Er (0.0000, 0.0000, 0.0000)  3 Sb 2.98, 3 I 3.13
Er (0.3333, 0.6667, 0.6917)  3 Br 2.97, 3 Sb 2.98
Sb (0.6667, 0.3333, 0.8455)  6 Er 2.98
I (0.3333, 0.6667, 0.1768)  3 Er 3.13
Br (0.0000, 0.0000, 0.5384)  3 Er 2.97



First-principles (PBE) data for a relaxed structure of SiHg, as listed in OQMD.

SG: F-43m, No. 216
ΔE to the lowest computed polymorph, meV per atom: 143

Cell lengths 4.1984, 4.1984, 4.1984 Å; angles 60.00, 60.00, 60.00 degrees
Closest atoms and distances in Å follow each position.
Sites, in units of the cell vectors:
Si (0.0000, 0.0000, 0.0000)  4 Hg 2.57
Hg (0.2500, 0.2500, 0.2500)  4 Si 2.57



First-principles (PBE) data for a relaxed structure of Tm3ScPb2C2, as listed in OQMD.

SG: P3m1, No. 156
M_tot, Bohr magnetons per cell: 0.0
Total DFT energy (no corrections), eV/atom: -6.247

Cell lengths 3.5378, 3.5378, 15.6742 Å; angles 90.00, 90.00, 120.00 degrees
Closest atoms and distances in Å follow each position.
Sites, in units of the cell vectors:
Tm (0.0000, 0.0000, 0.0000)  3 C 2.43
Tm (0.0000, 0.0000, 0.3396)  3 C 2.43
Tm (0.6667, 0.3333, 0.8330)  3 C 2.43
Sc (0.6667, 0.3333, 0.4982)  3 C 2.36
Pb (0.0000, 0.0000, 0.6612)  3 Sc 3.27, 3 Tm 3.38, 6 Pb 3.54
Pb (0.6667, 0.3333, 0.1700)  6 Tm 3.35-3.36, 6 Pb 3.54
C (0.3333, 0.6667, 0.4232)  3 Sc 2.36, 3 Tm 2.43
C (0.3333, 0.6667, 0.9166)  6 Tm 2.43



First-principles (PBE) data for a relaxed structure of TmAlSiPt, as listed in OQMD.

SG: C2/m, No. 12
M_tot, Bohr magnetons per cell: 0.0
ΔE to the lowest computed polymorph, meV per atom: 0

Cell lengths 6.0873, 6.0873, 6.7623 Å; angles 122.91, 122.91, 52.21 degrees
Closest atoms and distances in Å follow each position.
Sites, in units of the cell vectors:
Tm (0.0780, 0.0780, 0.3250)  2 Pt 2.71, 1 Al 2.90, 1 Si 2.93
Tm (0.9220, 0.9220, 0.6750)  2 Pt 2.71, 1 Al 2.90, 1 Si 2.93
Al (0.2700, 0.2700, 0.8637)  2 Pt 2.49-2.56, 1 Si 2.62
Al (0.7300, 0.7300, 0.1363)  2 Pt 2.49-2.56, 1 Si 2.62
Si (0.3403, 0.3403, 0.3096)  2 Pt 2.46-2.50, 1 Al 2.62
Si (0.6597, 0.6597, 0.6904)  2 Pt 2.46-2.50, 1 Al 2.62
Pt (0.4577, 0.4577, 0.7559)  2 Si 2.46-2.50, 2 Al 2.49-2.56, 2 Tm 2.71
Pt (0.5423, 0.5423, 0.2441)  2 Si 2.46-2.50, 2 Al 2.49-2.56, 2 Tm 2.71



First-principles (PBE) data for a relaxed structure of NaPrCdSe3, as listed in OQMD.

SG: Pnma, No. 62
M_tot, Bohr magnetons per cell: 0.0
ΔE to the lowest computed polymorph, meV per atom: 7

Cell lengths 12.4601, 4.3157, 12.4151 Å; angles 90.00, 90.00, 90.00 degrees
Closest atoms and distances in Å follow each position.
Sites, in units of the cell vectors:
Na (0.1340, 0.2500, 0.0054)  5 Se 2.99-3.07
Na (0.3660, 0.7500, 0.5054)  5 Se 2.99-3.07
Na (0.6340, 0.2500, 0.4946)  5 Se 2.99-3.07
Na (0.8660, 0.7500, 0.9946)  5 Se 2.99-3.07
Pr (0.0377, 0.2500, 0.6745)  6 Se 2.97-3.09
Pr (0.4623, 0.7500, 0.1745)  6 Se 2.97-3.09
Pr (0.5377, 0.2500, 0.8255)  6 Se 2.97-3.09
Pr (0.9623, 0.7500, 0.3255)  6 Se 2.97-3.09
Cd (0.2394, 0.2500, 0.2868)  4 Se 2.60-2.69
Cd (0.2606, 0.7500, 0.7868)  4 Se 2.60-2.69
Cd (0.7394, 0.2500, 0.2132)  4 Se 2.60-2.69
Cd (0.7606, 0.7500, 0.7132)  4 Se 2.60-2.69
Se (0.0566, 0.7500, 0.8477)  1 Cd 2.65
Se (0.0881, 0.2500, 0.4308)  1 Cd 2.60
Se (0.2204, 0.7500, 0.1590)  2 Cd 2.69
Se (0.2796, 0.2500, 0.6590)  2 Cd 2.69
Se (0.4119, 0.7500, 0.9308)  1 Cd 2.60
Se (0.4434, 0.2500, 0.3477)  1 Cd 2.65
Se (0.5566, 0.7500, 0.6523)  1 Cd 2.65
Se (0.5881, 0.2500, 0.0692)  1 Cd 2.60
Se (0.7204, 0.7500, 0.3410)  2 Cd 2.69
Se (0.7796, 0.2500, 0.8410)  2 Cd 2.69
Se (0.9119, 0.7500, 0.5692)  1 Cd 2.60
Se (0.9434, 0.2500, 0.1523)  1 Cd 2.65



First-principles (PBE) data for a relaxed structure of Tl2FePd, as listed in OQMD.

SG: F-43m, No. 216
M_tot, Bohr magnetons per cell: 3.0
Total DFT energy (no corrections), eV/atom: -4.122

Cell lengths 4.8502, 4.8502, 4.8502 Å; angles 60.00, 60.00, 60.00 degrees
Closest atoms and distances in Å follow each position.
Sites, in units of the cell vectors:
Tl (0.0000, 0.0000, 0.0000)  4 Tl 2.97, 4 Fe 2.97
Tl (0.2500, 0.2500, 0.2500)  4 Tl 2.97, 4 Pd 2.97
Fe (0.7500, 0.7500, 0.7500)  4 Pd 2.97, 4 Tl 2.97
Pd (0.5000, 0.5000, 0.5000)  4 Tl 2.97, 4 Fe 2.97



First-principles (PBE) data for a relaxed structure of SmTaN2O, as listed in OQMD.

SG: P1, No. 1
M_tot, Bohr magnetons per cell: 0.0
Total DFT energy (no corrections), eV/atom: -9.586

Cell lengths 5.6085, 9.8075, 9.8075 Å; angles 71.56, 89.99, 89.98 degrees
Closest atoms and distances in Å follow each position.
Sites, in units of the cell vectors:
Sm (0.0000, 0.0000, 0.0000)  2 O 2.38-2.43, 4 N 2.42-2.60
Sm (0.0018, 0.4976, 0.5031)  4 N 2.39-2.60, 2 O 2.50-2.54
Sm (0.4706, 0.2566, 0.7436)  3 O 2.33-2.60, 2 N 2.44-2.54
Sm (0.4762, 0.7576, 0.2449)  1 O 2.30, 3 N 2.45-2.57
Sm (0.4972, 0.0527, 0.4469)  4 N 2.38-2.62, 2 O 2.45-2.56
Sm (0.5038, 0.5555, 0.9453)  2 O 2.38-2.48, 4 N 2.43-2.58
Sm (0.9712, 0.2992, 0.2021)  3 O 2.33-2.58, 2 N 2.46-2.54
Sm (0.9751, 0.7945, 0.7071)  1 O 2.30, 3 N 2.43-2.58
Ta (0.0041, 0.4106, 0.8492)  4 N 1.93-2.10, 1 O 2.14
Ta (0.0043, 0.6465, 0.0999)  5 N 1.97-2.18
Ta (0.4671, 0.1455, 0.0946)  3 N 1.97-2.00, 3 O 2.11-2.19
Ta (0.4978, 0.4147, 0.3402)  4 N 1.93-2.08, 1 O 2.11
Ta (0.5032, 0.6519, 0.5918)  5 N 1.97-2.18
Ta (0.5033, 0.9024, 0.8571)  4 N 1.93-2.10, 1 O 2.13
Ta (0.9659, 0.1455, 0.5923)  3 N 1.97-2.00, 3 O 2.12-2.19
Ta (0.9971, 0.8925, 0.3625)  4 N 1.93-2.07, 1 O 2.11
N (0.0755, 0.0147, 0.4891)  2 Ta 1.97-2.03
N (0.0749, 0.5164, 0.9874)  2 Ta 1.97-1.99
N (0.1838, 0.5300, 0.2744)  2 Ta 2.00-2.08
N (0.1845, 0.7297, 0.4707)  2 Ta 1.93-2.15
N (0.1885, 0.2319, 0.9728)  2 Ta 1.99-2.07
N (0.2660, 0.7865, 0.0179)  2 Ta 2.00-2.10
N (0.2703, 0.4833, 0.7228)  1 Ta 1.93
N (0.2700, 0.9846, 0.2205)  2 Ta 2.00-2.07
N (0.5740, 0.5380, 0.4635)  2 Ta 1.97-2.01
N (0.5765, 0.0437, 0.9622)  2 Ta 1.97-2.01
N (0.6836, 0.8272, 0.4758)  2 Ta 2.01-2.07
N (0.6856, 0.5246, 0.1782)  2 Ta 1.93-2.15
N (0.6870, 0.0242, 0.6781)  2 Ta 1.98-2.06
N (0.7675, 0.5711, 0.7320)  2 Ta 2.01-2.10
N (0.7683, 0.7752, 0.9311)  1 Ta 1.93
N (0.7708, 0.2733, 0.4315)  2 Ta 2.00-2.07
O (0.1862, 0.0399, 0.7730)  2 Ta 2.14-2.23, 1 Sm 2.38
O (0.2674, 0.2811, 0.5296)  2 Ta 2.12-2.30, 1 Sm 2.33
O (0.3782, 0.2616, 0.2454)  2 Ta 2.11-2.19, 1 Sm 2.33
O (0.3804, 0.7662, 0.7400)  2 Ta 2.13-2.21, 1 Sm 2.30
O (0.6856, 0.3260, 0.9889)  2 Ta 2.13-2.24, 1 Sm 2.38
O (0.7670, 0.0819, 0.2296)  2 Ta 2.11-2.30, 1 Sm 2.36
O (0.8784, 0.8003, 0.2074)  2 Ta 2.11-2.21, 1 Sm 2.30
O (0.8805, 0.2901, 0.7153)  2 Ta 2.14-2.19, 1 Sm 2.33



First-principles (PBE) data for a relaxed structure of DyBePt, as listed in OQMD.

SG: F-43m, No. 216
M_tot, Bohr magnetons per cell: 0.0
ΔE to the lowest computed polymorph, meV per atom: 0

Cell lengths 4.4675, 4.4675, 4.4675 Å; angles 60.00, 60.00, 60.00 degrees
Closest atoms and distances in Å follow each position.
Sites, in units of the cell vectors:
Dy (0.0000, 0.0000, 0.0000)  4 Pt 2.74
Be (0.5000, 0.5000, 0.5000)  4 Pt 2.74
Pt (0.7500, 0.7500, 0.7500)  4 Be 2.74, 4 Dy 2.74



First-principles (PBE) data for a relaxed structure of ZrO3, as listed in OQMD.

SG: C2, No. 5
M_tot, Bohr magnetons per cell: 1.2
ΔE to the lowest computed polymorph, meV per atom: 0

Cell lengths 6.5033, 6.5033, 6.0266 Å; angles 95.47, 95.47, 130.59 degrees
Closest atoms and distances in Å follow each position.
Sites, in units of the cell vectors:
Zr (0.0000, 0.0000, 0.0000)  8 O 2.16-2.38
Zr (0.1430, 0.8570, 0.5000)  6 O 2.06-2.29
Zr (0.7144, 0.2856, 0.0000)  4 O 2.02
Zr (0.8715, 0.1285, 0.5000)  4 O 2.07-2.08
O (0.1633, 0.1477, 0.3634)  3 Zr 2.06-2.16
O (0.2700, 0.6052, 0.5902)  1 O 1.41
O (0.3051, 0.0125, 0.8610)  3 Zr 2.02-2.18
O (0.3948, 0.7300, 0.4098)  1 O 1.41
O (0.4390, 0.4599, 0.0896)  1 O 1.32
O (0.5401, 0.5610, 0.9104)  1 O 1.32
O (0.6052, 0.2417, 0.5862)  1 O 1.47
O (0.7232, 0.0252, 0.1493)  3 Zr 2.02-2.18
O (0.7583, 0.3948, 0.4138)  1 O 1.47
O (0.8523, 0.8367, 0.6366)  3 Zr 2.06-2.16
O (0.9748, 0.2768, 0.8507)  3 Zr 2.02-2.18
O (0.9875, 0.6949, 0.1390)  3 Zr 2.02-2.18



First-principles (PBE) data for a relaxed structure of Nd2Gd2TlIn, as listed in OQMD.

SG: P-6m2, No. 187
M_tot, Bohr magnetons per cell: 1.2
Total DFT energy (no corrections), eV/atom: -4.295

Cell lengths 5.5016, 5.5016, 6.8666 Å; angles 90.00, 90.00, 120.00 degrees
Closest atoms and distances in Å follow each position.
Sites, in units of the cell vectors:
Nd (0.0000, 0.0000, 0.0000)  3 Tl 3.18, 2 In 3.43
Nd (0.3333, 0.6667, 0.5000)  3 In 3.18, 2 Tl 3.43
Gd (0.6667, 0.3333, 0.2541)  2 Gd 3.38-3.49, 3 In 3.60, 6 Nd 3.60-3.62, 3 Tl 3.62
Gd (0.6667, 0.3333, 0.7459)  2 Gd 3.38-3.49, 3 In 3.60, 6 Nd 3.60-3.62, 3 Tl 3.62
Tl (0.3333, 0.6667, 0.0000)  5 Nd 3.18-3.43
In (0.0000, 0.0000, 0.5000)  5 Nd 3.18-3.43